(1)
The following is a DFT calculation (PBE) of ZrZn2MoAu after structural relaxation.

Summary:
E_form ... 0.95 eV/atom

a b c (Å): 4.6888 4.6888 5.3085
angles (deg): 90.00 90.00 90.00
With the nearest neighbours (Å) after each atom.
Space group P4/mmm (No. 123)
Inequivalent atoms, fractional coordinates:
Zr: 0.0000 0.0000 0.0000 [1 per cell]  2 Au 2.65
Zn: 0.0000 0.5000 0.5000 [2 per cell]  2 Au 2.34
Mo: 0.5000 0.5000 0.0000 [1 per cell]  4 Zr 3.32, 8 Zn 3.54
Au: 0.0000 0.0000 0.5000 [1 per cell]  4 Zn 2.34

(2)
The following is a DFT calculation (PBE) of ZrMoAu after structural relaxation.

Summary:
E_form ... 0.20 eV/atom
Offset from the most stable computed form ... 205.4 meV/atom

a b c (Å): 2.8958 2.8958 7.6084
angles (deg): 90.00 90.00 120.00
With the nearest neighbours (Å) after each atom.
Space group P3m1 (No. 156)
Inequivalent atoms, fractional coordinates:
Zr: 0.0000 0.0000 0.0000 [1 per cell]  6 Zr 2.90, 3 Au 3.07, 3 Mo 3.11
Mo: 0.6667 0.3333 0.6551 [1 per cell]  6 Mo 2.90, 3 Au 2.93, 3 Zr 3.11
Au: 0.3333 0.6667 0.3387 [1 per cell]  6 Au 2.90, 3 Mo 2.93, 3 Zr 3.07

(3)
The following is a DFT calculation (PBE) of ZrMo2Au after structural relaxation.

Summary:
E_form ... 0.28 eV/atom
Offset from the most stable computed form ... 346.7 meV/atom

a b c (Å): 2.6836 4.5127 5.8640
angles (deg): 90.00 90.00 90.00
With the nearest neighbours (Å) after each atom.
Space group Pmmm (No. 47)
Inequivalent atoms, fractional coordinates:
Zr: 0.0000 0.0000 0.0000 [1 per cell]  2 Zr 2.68, 2 Au 2.93
Mo: 0.5000 0.5000 0.2612 [2 per cell]  3 Mo 2.68-2.80, 4 Au 2.98
Au: 0.0000 0.0000 0.5000 [1 per cell]  2 Au 2.68, 2 Zr 2.93, 8 Mo 2.98

(4)
The following is a DFT calculation (PBE) of ZrMoAu after structural relaxation.

Summary:
E_form ... 0.00 eV/atom
Offset from the most stable computed form ... 0.0 meV/atom

a b c (Å): 2.8571 2.8571 13.4399
angles (deg): 90.00 90.00 90.00
With the nearest neighbours (Å) after each atom.
Space group I4mm (No. 107)
Inequivalent atoms, fractional coordinates:
Zr: 0.0000 0.0000 0.0000 [2 per cell]  4 Zr 2.86, 4 Mo 3.06, 4 Au 3.07
Mo: 0.0000 0.0000 0.3285 [2 per cell]  4 Mo 2.86, 4 Au 2.92, 4 Zr 3.06
Au: 0.0000 0.0000 0.6717 [2 per cell]  4 Au 2.86, 4 Mo 2.92, 4 Zr 3.07

(5)
The following is a DFT calculation (PBE) of ZrMoAu after structural relaxation.

Summary:
E_form ... 0.81 eV/atom
Offset from the most stable computed form ... 811.3 meV/atom

a b c (Å): 6.4323 6.4323 6.4323
angles (deg): 90.00 90.00 90.00
With the nearest neighbours (Å) after each atom.
Space group F-43m (No. 216)
Inequivalent atoms, fractional coordinates:
Zr: 0.0000 0.0000 0.0000 [4 per cell]  4 Mo 2.79, 4 Au 2.79
Mo: 0.2500 0.2500 0.7500 [4 per cell]  4 Zr 2.79
Au: 0.2500 0.2500 0.2500 [4 per cell]  4 Zr 2.79

(6)
The following is a DFT calculation (PBE) of ZrMoAu after structural relaxation.

Summary:
E_form ... 0.11 eV/atom
Offset from the most stable computed form ... 114.1 meV/atom

a b c (Å): 4.8611 4.8611 2.7202
angles (deg): 90.00 90.00 120.00
With the nearest neighbours (Å) after each atom.
Space group P-6m2 (No. 187)
Inequivalent atoms, fractional coordinates:
Zr: 0.0000 0.0000 0.0000 [1 per cell]  2 Zr 2.72
Mo: 0.6667 0.3333 0.5000 [1 per cell]  2 Mo 2.72, 3 Au 2.81
Au: 0.3333 0.6667 0.5000 [1 per cell]  2 Au 2.72, 3 Mo 2.81

(7)
The following is a DFT calculation (PBE) of ZrMo3Au after structural relaxation.

Summary:
E_form ... 1.92 eV/atom
Offset from the most stable computed form ... 0.0 meV/atom

a b c (Å): 4.8405 4.8405 4.8405
angles (deg): 90.00 90.00 90.00
With the nearest neighbours (Å) after each atom.
Space group Pm-3m (No. 221)
Inequivalent atoms, fractional coordinates:
Zr: 0.0000 0.0000 0.0000 [1 per cell]  12 Mo 3.42
Mo: 0.0000 0.5000 0.5000 [3 per cell]  2 Au 2.42
Au: 0.5000 0.5000 0.5000 [1 per cell]  6 Mo 2.42

(8)
The following is a DFT calculation (PBE) of ZrMo2Au after structural relaxation.

Summary:
E_form ... 0.21 eV/atom
Offset from the most stable computed form ... 282.3 meV/atom

a b c (Å): 2.7845 2.7845 9.1541
angles (deg): 90.00 90.00 90.00
With the nearest neighbours (Å) after each atom.
Space group P4/mmm (No. 123)
Inequivalent atoms, fractional coordinates:
Zr: 0.0000 0.0000 0.0000 [1 per cell]  4 Zr 2.78, 8 Mo 3.11
Mo: 0.5000 0.5000 0.2629 [2 per cell]  4 Mo 2.78, 4 Au 2.93, 4 Zr 3.11
Au: 0.0000 0.0000 0.5000 [1 per cell]  4 Au 2.78, 8 Mo 2.93